Entry 1:
7
Lattice="3.892 0.000 0.000 0.000 3.892 0.000 -1.946 -1.946 6.329" Properties=species:S:1:pos:R:3 comment="Pm2CrO4, relaxed, DFT GGA+U" final_energy_ev_per_atom=-7.952 magmom_total_mub_per_fu=4.0 space_group="No. 139" pbc="T T T"
Cr 0.000 0.000 0.000
O 1.946 1.946 3.972
O 0.000 0.000 2.357
O 0.000 1.946 0.000
O 1.946 0.000 0.000
Pm 1.946 1.946 1.746
Pm 0.000 0.000 4.584

***

Entry 2:
4
Lattice="3.280 0.000 0.000 1.640 2.840 0.000 1.640 0.947 6.524" Properties=species:S:1:pos:R:3 comment="PmCrO2, relaxed, DFT GGA+U" final_energy_ev_per_atom=-7.235 magmom_total_mub_per_fu=3.3 space_group="No. 166" pbc="T T T"
Cr 3.280 1.893 3.262
O 1.640 0.947 4.223
O 4.919 2.840 2.301
Pm 0.000 0.000 0.000